DFT (PBE) results for an optimized crystal structure of Tl2In3Pb. Values from VASP.

**Raw total energy**: -2.72 eV/atom
**Formation energy from the elements**: 0.32 eV per formula unit
**Energy above the lowest structure with this stoichiometry**: 30 meV/atom
**Calculated density**: 8.8 g/cm3
**Space-group type**: Pmma (51)

Structure (Quantum ESPRESSO input):
```
&SYSTEM
  ibrav = 0, nat = 12, ntyp = 3
/
ATOMIC_SPECIES
In 114.82 In.upf
Tl 204.38 Tl.upf
Pb 207.20 Pb.upf
ATOMIC_POSITIONS angstrom
In -1.8733 1.3261 -1.7938
Tl -8.9305 -4.9362 -1.4184
Pb -3.4295 -3.7516 -1.5571
In 0.0000 0.0000 0.0000
In -4.0020 -2.8473 -5.0212
In -5.9209 -4.1539 0.7474
Tl -0.9924 -2.0649 -2.8554
Tl -7.3696 -1.1665 -0.2619
Tl -3.4635 -1.0858 0.4492
In -5.4735 -6.4883 -1.4455
Pb -6.4934 -3.2495 -2.7167
In -4.4494 -0.5129 -2.8283
CELL_PARAMETERS angstrom
-3.7467 2.6521 -3.5877
0.9102 -4.7489 -4.4611
-7.0864 -4.9044 3.7750
```